Entry 1:
## BaGa2TcSb (GGA-PBE)

Data for a geometry-optimized BaGa2TcSb structure.

abc: 4.947 4.947 5.254
angles: 90.00 90.00 90.00
Sites, in units of the cell vectors:
Ba (0.000, 0.000, 0.000)
Ga (0.000, 0.500, 0.500)
Ga (0.500, 0.000, 0.500)
Tc (0.500, 0.500, 0.500)
Sb (0.500, 0.500, 0.000)

The density of states at the Fermi level is 0.44 states/eV per atom. The formation energy from raw total energies comes out at -0.315 eV per atom.

=====

Entry 2:
## CrCuNiPd (GGA-PBE)

Data for a geometry-optimized CrCuNiPd structure.

abc: 4.203 4.203 4.203
angles: 60.00 60.00 60.00
Sites, in units of the cell vectors:
Cr (0.000, 0.000, 0.000)
Cu (0.500, 0.500, 0.500)
Ni (0.250, 0.250, 0.250)
Pd (0.750, 0.750, 0.750)

The density of states at the Fermi level is 1.16 states/eV per atom. For the energy of formation, the calculation gives 104 meV/atom.

=====

Entry 3:
## HfZrNF2 (GGA-PBE)

Data for a geometry-optimized HfZrNF2 structure.

abc: 4.135 4.135 4.320
angles: 90.00 90.00 90.00
Sites, in units of the cell vectors:
Hf (0.000, 0.000, 0.000)
Zr (0.500, 0.500, 0.500)
N (0.000, 0.000, 0.500)
F (0.000, 0.500, 0.000)
F (0.500, 0.000, 0.000)

The density of states at the Fermi level is 0.54 states/eV per atom. The formation energy from raw total energies comes out at -1.430 eV per atom. The energy above the most stable polymorph in this dataset comes out at 0.0 meV/atom.

=====

Entry 4:
## Tl6ZnAu4 (GGA-PBE)

Data for a geometry-optimized Tl6ZnAu4 structure.

abc: 9.743 9.743 7.140
angles: 90.00 90.00 120.00
Sites, in units of the cell vectors:
Tl (0.054, 0.527, 0.000)
Tl (0.134, 0.268, 0.325)
Tl (0.134, 0.866, 0.325)
Tl (0.268, 0.134, 0.825)
Tl (0.473, 0.527, 0.000)
Tl (0.473, 0.946, 0.000)
Tl (0.527, 0.054, 0.500)
Tl (0.527, 0.473, 0.500)
Tl (0.732, 0.866, 0.325)
Tl (0.866, 0.134, 0.825)
Tl (0.866, 0.732, 0.825)
Tl (0.946, 0.473, 0.500)
Zn (0.333, 0.667, 0.611)
Zn (0.667, 0.333, 0.111)
Au (0.187, 0.374, 0.722)
Au (0.187, 0.813, 0.722)
Au (0.333, 0.667, 0.252)
Au (0.374, 0.187, 0.222)
Au (0.626, 0.813, 0.722)
Au (0.667, 0.333, 0.752)
Au (0.813, 0.187, 0.222)
Au (0.813, 0.626, 0.222)

The density of states at the Fermi level is 0.54 states/eV per atom. For the energy of formation, the calculation gives -17 meV/atom.